Crystalline Pm2YPuAs4 at its relaxed geometry, computed with PBE-GGA.

a = 7.2335 Å, b = 4.1909 Å, c = 7.2390 Å
α = 90.00°, β = 109.45°, γ = 90.00°
Atoms (fractional coordinates):
Pm (0.0000, 0.0000, 0.0000)
Pm (0.5000, 0.5000, 0.0000)
Y (0.0000, 0.5000, 0.5000)
Pu (0.5000, 0.0000, 0.5000)
As (0.2487, 0.0000, 0.7422)
As (0.2542, 0.5000, 0.2588)
As (0.7458, 0.5000, 0.7412)
As (0.7513, 0.0000, 0.2578)

Properties
VASP energy = -60.1 eV for the cell shown
Space-group type = P2/m, No. 10

Crystalline PmYPu2As4 at its relaxed geometry, computed with PBE-GGA.

a = 7.1755 Å, b = 4.1655 Å, c = 7.2113 Å
α = 90.00°, β = 109.58°, γ = 90.00°
Atoms (fractional coordinates):
Pm (0.0000, 0.0000, 0.0000)
Y (0.0000, 0.5000, 0.5000)
Pu (0.5000, 0.0000, 0.5000)
Pu (0.5000, 0.5000, 0.0000)
As (0.2556, 0.0000, 0.7486)
As (0.2580, 0.5000, 0.2560)
As (0.7420, 0.5000, 0.7440)
As (0.7444, 0.0000, 0.2514)

Properties
VASP energy = -68.7 eV for the cell shown
Space-group type = P2/m, No. 10

Crystalline PmPuZr2As4 at its relaxed geometry, computed with PBE-GGA.

a = 6.9357 Å, b = 4.0077 Å, c = 7.0049 Å
α = 90.00°, β = 109.25°, γ = 90.00°
Atoms (fractional coordinates):
Pm (0.0000, 0.0000, 0.0000)
Pu (0.5000, 0.5000, 0.0000)
Zr (0.0000, 0.5000, 0.5000)
Zr (0.5000, 0.0000, 0.5000)
As (0.2474, 0.0000, 0.7334)
As (0.2593, 0.5000, 0.2690)
As (0.7407, 0.5000, 0.7310)
As (0.7526, 0.0000, 0.2666)

Properties
VASP energy = -64.6 eV for the cell shown
Space-group type = P2/m, No. 10